# ZrSb3O (PBE, relaxed)
data_ZrSb3O
_cell_length_a 5.4606
_cell_length_b 5.4606
_cell_length_c 5.4606
_cell_angle_alpha 90.00
_cell_angle_beta 90.00
_cell_angle_gamma 90.00
_symmetry_space_group_name_H-M 'P m -3 m'
_symmetry_Int_Tables_number 221
_symmetry_space_group_name_Hall '-P 4 2 3'
loop_
_atom_site_label
_atom_site_type_symbol
_atom_site_fract_x
_atom_site_fract_y
_atom_site_fract_z
_atom_site_occupancy
Zr1 Zr 0.0000 0.0000 0.0000 1
Sb1 Sb 0.0000 0.0000 0.5000 1
O1 O 0.5000 0.5000 0.5000 1
# DOS at the Fermi energy = 2.263 states/eV/atom
# excess energy over the best structure of this formula in the dataset = 0.970 eV/atom
# calculated volume = 32.57 A^3/atom
# formation energy without anion corrections = 0.696 eV per atom